Run 1
Density functional theory data (PBE) for a relaxed structure of Mn2NiBr.

a = 3.1405 Å, b = 3.1405 Å, c = 6.8749 Å
α = 90.00°, β = 90.00°, γ = 90.00°
Closest atoms and distances in Å follow each position.
Atoms (fractional coordinates):
Ni  0.5000  0.5000  0.2500  8 Mn 2.61
Mn  0.0000  0.0000  0.4489  4 Ni 2.61, 1 Mn 2.74
Mn  0.0000  0.0000  0.0511  4 Ni 2.61, 1 Mn 2.74
Br  0.5000  0.5000  0.7500  8 Mn 3.04, 4 Br 3.14

Properties
- DOS(E_F) (states/eV per atom) = 0.66
- M_tot (μB/f.u.) = 9.01


Run 2
Density functional theory data (PBE) for a relaxed structure of Mn2NiBr.

a = 6.3112 Å, b = 4.5458 Å, c = 3.0856 Å
α = 89.83°, β = 61.01°, γ = 121.98°
Closest atoms and distances in Å follow each position.
Atoms (fractional coordinates):
Mn  0.5000  0.0000  0.5000  4 Br 2.74-2.75, 4 Ni 2.74-2.75, 2 Mn 2.76
Mn  0.0000  0.0000  0.0000  4 Ni 2.74-2.75, 4 Br 2.74-2.75, 2 Mn 2.76
Br  0.5000  0.5000  0.0000  8 Mn 2.74-2.75, 2 Ni 2.76
Ni  0.0000  0.5000  0.5000  8 Mn 2.74-2.75, 2 Br 2.76

Properties
- DOS(E_F) (states/eV per atom) = 0.81
- M_tot (μB/f.u.) = 8.28


Run 3
Density functional theory data (PBE) for a relaxed structure of Mn2NiBr.

a = 4.5662 Å, b = 4.5634 Å, c = 3.1175 Å
α = 90.00°, β = 90.00°, γ = 90.00°
Closest atoms and distances in Å follow each position.
Atoms (fractional coordinates):
Br  0.0000  0.5000  0.5000  8 Mn 2.76
Mn  0.5000  0.5000  0.0000  4 Ni 2.76, 4 Br 2.76
Mn  0.0000  0.0000  0.0000  4 Br 2.76, 4 Ni 2.76
Ni  0.5000  0.0000  0.5000  8 Mn 2.76

Properties
- DOS(E_F) (states/eV per atom) = 0.76
- M_tot (μB/f.u.) = 9.07


Winner for stability: run 1


Run 1
Density functional theory data (PBE) for a relaxed structure of MnNiBr3.

a = 4.9317 Å, b = 4.9317 Å, c = 4.9317 Å
α = 90.00°, β = 90.00°, γ = 90.00°
Closest atoms and distances in Å follow each position.
Atoms (fractional coordinates):
Br  0.5000  0.0000  0.0000  2 Ni 2.47
Br  0.0000  0.0000  0.5000  2 Ni 2.47
Br  0.0000  0.5000  0.0000  2 Ni 2.47
Mn  0.5000  0.5000  0.5000  12 Br 3.49
Ni  0.0000  0.0000  0.0000  6 Br 2.47

Properties
- DOS(E_F) (states/eV per atom) = 0.82
- M_tot (μB/f.u.) = 5.11


Run 2
Density functional theory data (PBE) for a relaxed structure of MnNiBr3.

a = 5.1990 Å, b = 5.1990 Å, c = 5.1990 Å
α = 90.00°, β = 90.00°, γ = 90.00°
Closest atoms and distances in Å follow each position.
Atoms (fractional coordinates):
Br  0.5000  0.0000  0.0000  2 Mn 2.60
Br  0.0000  0.0000  0.5000  2 Mn 2.60
Br  0.0000  0.5000  0.0000  2 Mn 2.60
Mn  0.0000  0.0000  0.0000  6 Br 2.60
Ni  0.5000  0.5000  0.5000  12 Br 3.68

Properties
- DOS(E_F) (states/eV per atom) = 3.60
- M_tot (μB/f.u.) = 5.90


Winner for stability: run 1


Run 1
Density functional theory data (PBE) for a relaxed structure of MnNi3Br.

a = 4.3487 Å, b = 4.3487 Å, c = 4.3487 Å
α = 90.00°, β = 90.00°, γ = 90.00°
Closest atoms and distances in Å follow each position.
Atoms (fractional coordinates):
Ni  0.0000  0.0000  0.5000  2 Br 2.17
Ni  0.0000  0.5000  0.0000  2 Br 2.17
Ni  0.5000  0.0000  0.0000  2 Br 2.17
Mn  0.5000  0.5000  0.5000  12 Ni 3.07
Br  0.0000  0.0000  0.0000  6 Ni 2.17

Properties
- DOS(E_F) (states/eV per atom) = 0.90
- M_tot (μB/f.u.) = 4.48


Run 2
Density functional theory data (PBE) for a relaxed structure of MnNi3Br.

a = 4.4363 Å, b = 4.4363 Å, c = 4.4363 Å
α = 90.00°, β = 90.00°, γ = 90.00°
Closest atoms and distances in Å follow each position.
Atoms (fractional coordinates):
Mn  0.0000  0.0000  0.0000  6 Ni 2.22
Ni  0.0000  0.5000  0.0000  2 Mn 2.22
Ni  0.5000  0.0000  0.0000  2 Mn 2.22
Ni  0.0000  0.0000  0.5000  2 Mn 2.22
Br  0.5000  0.5000  0.5000  12 Ni 3.14

Properties
- DOS(E_F) (states/eV per atom) = 1.92
- M_tot (μB/f.u.) = 4.94


Winner for stability: run 1


Run 1
Density functional theory data (PBE) for a relaxed structure of MnNiBr.

a = 5.5004 Å, b = 5.5009 Å, c = 5.5009 Å
α = 146.61°, β = 146.61°, γ = 47.94°
Closest atoms and distances in Å follow each position.
Atoms (fractional coordinates):
Br  0.9998  0.9998  0.0000  5 Mn 2.92-3.15, 5 Ni 2.92-3.15, 4 Br 3.16
Ni  0.6869  0.6869  0.0000  4 Mn 2.57
Mn  0.3133  0.3133  0.0000  4 Ni 2.57

Properties
- DOS(E_F) (states/eV per atom) = 0.56
- M_tot (μB/f.u.) = 4.58


Run 2
Density functional theory data (PBE) for a relaxed structure of MnNiBr.

a = 3.3402 Å, b = 3.3402 Å, c = 5.3383 Å
α = 90.00°, β = 90.00°, γ = 120.00°
Closest atoms and distances in Å follow each position.
Atoms (fractional coordinates):
Mn  0.3333  0.6667  0.3618  3 Ni 2.42
Ni  0.6667  0.3333  0.6371  3 Mn 2.42
Br  0.0000  0.0000  0.0011  3 Mn 2.73, 3 Ni 2.74

Properties
- DOS(E_F) (states/eV per atom) = 0.64
- M_tot (μB/f.u.) = 3.98


Winner for stability: run 2


Run 1
Density functional theory data (PBE) for a relaxed structure of MnNiBr.

a = 6.1683 Å, b = 5.8485 Å, c = 3.1921 Å
α = 80.21°, β = 69.12°, γ = 30.66°
Closest atoms and distances in Å follow each position.
Atoms (fractional coordinates):
Ni  0.3203  0.3203  0.6797  2 Mn 2.38
Mn  0.6792  0.6792  0.3208  2 Ni 2.38
Br  0.0005  0.0005  0.9995  2 Mn 2.67, 2 Ni 2.68

Properties
- DOS(E_F) (states/eV per atom) = 0.68
- M_tot (μB/f.u.) = 4.58


Run 2
Density functional theory data (PBE) for a relaxed structure of MnNiBr.

a = 4.2412 Å, b = 4.2412 Å, c = 4.2412 Å
α = 60.00°, β = 60.00°, γ = 60.00°
Closest atoms and distances in Å follow each position.
Atoms (fractional coordinates):
Mn  0.2500  0.2500  0.2500  4 Br 2.60, 4 Ni 2.60
Ni  0.0000  0.0000  0.0000  4 Mn 2.60
Br  0.5000  0.5000  0.5000  4 Mn 2.60

Properties
- DOS(E_F) (states/eV per atom) = 0.45
- M_tot (μB/f.u.) = 4.32


Winner for stability: run 1


Run 1
Density functional theory data (PBE) for a relaxed structure of Y2MnNiBr.

a = 5.3044 Å, b = 4.5662 Å, c = 5.3044 Å
α = 90.00°, β = 90.00°, γ = 90.00°
Closest atoms and distances in Å follow each position.
Atoms (fractional coordinates):
Ni  0.0000  0.0000  0.0000  2 Mn 2.28
Y  0.5000  0.0000  0.0000  2 Ni 2.65
Y  0.0000  0.0000  0.5000  2 Ni 2.65
Br  0.5000  0.5000  0.5000  8 Y 3.50, 4 Mn 3.75
Mn  0.0000  0.5000  0.0000  2 Ni 2.28

Properties
- DOS(E_F) (states/eV per atom) = 0.63
- M_tot (μB/f.u.) = 3.83


Run 2
Density functional theory data (PBE) for a relaxed structure of Y2MnNiBr.

a = 5.2948 Å, b = 4.4217 Å, c = 5.2948 Å
α = 90.00°, β = 90.00°, γ = 90.00°
Closest atoms and distances in Å follow each position.
Atoms (fractional coordinates):
Ni  0.5000  0.5000  0.5000  8 Y 3.45, 4 Mn 3.74
Mn  0.0000  0.5000  0.0000  2 Br 2.21
Br  0.0000  0.0000  0.0000  2 Mn 2.21
Y  0.5000  0.0000  0.0000  2 Br 2.65
Y  0.0000  0.0000  0.5000  2 Br 2.65

Properties
- DOS(E_F) (states/eV per atom) = 0.93
- M_tot (μB/f.u.) = 2.88


Winner for stability: run 1


Run 1
Density functional theory data (PBE) for a relaxed structure of MnOs2Br.

a = 5.4247 Å, b = 5.4247 Å, c = 5.4247 Å
α = 149.16°, β = 130.32°, γ = 59.63°
Closest atoms and distances in Å follow each position.
Atoms (fractional coordinates):
Os  0.9837  0.9837  0.0000  2 Br 2.63, 6 Os 2.71-2.88, 2 Mn 2.89
Os  0.5163  0.5163  0.0000  2 Br 2.63, 6 Os 2.71-2.88, 2 Mn 2.89
Br  0.7500  0.2500  0.5000  4 Os 2.63, 4 Mn 2.70, 2 Br 2.88
Mn  0.2500  0.7500  0.5000  4 Br 2.70, 2 Mn 2.88, 4 Os 2.89

Properties
- DOS(E_F) (states/eV per atom) = 1.00
- M_tot (μB/f.u.) = 3.25


Run 2
Density functional theory data (PBE) for a relaxed structure of MnOs2Br.

a = 5.3951 Å, b = 5.3951 Å, c = 5.3951 Å
α = 148.78°, β = 130.12°, γ = 60.03°
Closest atoms and distances in Å follow each position.
Atoms (fractional coordinates):
Os  0.7482  0.2482  0.5000  4 Os 2.63-2.90, 2 Br 2.67, 4 Mn 2.70
Os  0.9829  0.9829  0.0000  4 Os 2.63-2.90, 4 Br 2.71
Mn  0.2601  0.7601  0.5000  6 Os 2.70-2.97, 2 Br 2.74, 2 Mn 2.90
Br  0.5088  0.5088  0.0000  6 Os 2.67-2.71, 2 Mn 2.74, 2 Br 2.90

Properties
- DOS(E_F) (states/eV per atom) = 1.01
- M_tot (μB/f.u.) = 3.05


Winner for stability: run 1


Run 1
Density functional theory data (PBE) for a relaxed structure of MnOsBr.

a = 7.6779 Å, b = 7.4134 Å, c = 2.9369 Å
α = 83.89°, β = 73.75°, γ = 22.35°
Closest atoms and distances in Å follow each position.
Atoms (fractional coordinates):
Mn  0.6697  0.6697  0.3303  2 Os 2.43, 2 Br 2.54
Br  0.0298  0.0298  0.9702  2 Mn 2.54
Os  0.3005  0.3005  0.6995  2 Mn 2.43

Properties
- DOS(E_F) (states/eV per atom) = 0.76
- M_tot (μB/f.u.) = 3.50


Run 2
Density functional theory data (PBE) for a relaxed structure of MnOsBr.

a = 4.2679 Å, b = 4.2679 Å, c = 4.2679 Å
α = 60.00°, β = 60.00°, γ = 60.00°
Closest atoms and distances in Å follow each position.
Atoms (fractional coordinates):
Mn  0.5000  0.5000  0.5000  4 Os 2.61
Os  0.7500  0.7500  0.7500  4 Mn 2.61, 4 Br 2.61
Br  0.0000  0.0000  0.0000  4 Os 2.61

Properties
- DOS(E_F) (states/eV per atom) = 0.88
- M_tot (μB/f.u.) = 2.69


Winner for stability: run 1


Run 1
Density functional theory data (PBE) for a relaxed structure of MnOsBr.

a = 3.1023 Å, b = 3.1023 Å, c = 6.1156 Å
α = 90.00°, β = 90.00°, γ = 120.00°
Closest atoms and distances in Å follow each position.
Atoms (fractional coordinates):
Mn  0.3333  0.6667  0.3447  3 Os 2.48, 3 Br 2.63
Os  0.6667  0.3333  0.6243  3 Mn 2.48
Br  0.0000  0.0000  0.0309  3 Mn 2.63

Properties
- DOS(E_F) (states/eV per atom) = 0.75
- M_tot (μB/f.u.) = 3.10


Run 2
Density functional theory data (PBE) for a relaxed structure of MnOsBr.

a = 6.0279 Å, b = 6.0279 Å, c = 6.0279 Å
α = 151.10°, β = 151.10°, γ = 41.33°
Closest atoms and distances in Å follow each position.
Atoms (fractional coordinates):
Br  0.0012  0.0012  0.0000  4 Os 2.99, 4 Br 3.01, 4 Mn 3.02
Os  0.6876  0.6876  0.0000  4 Mn 2.54
Mn  0.3112  0.3112  0.0000  4 Os 2.54

Properties
- DOS(E_F) (states/eV per atom) = 0.76
- M_tot (μB/f.u.) = 2.61


Winner for stability: run 1


Run 1
Density functional theory data (PBE) for a relaxed structure of MnP2Br2.

a = 3.3281 Å, b = 3.3281 Å, c = 12.1119 Å
α = 82.10°, β = 82.10°, γ = 90.00°
Closest atoms and distances in Å follow each position.
Atoms (fractional coordinates):
Br  0.5693  0.5693  0.8614  4 Mn 2.87
Br  0.4307  0.4307  0.1386  4 Mn 2.87
Mn  0.0000  0.0000  0.0000  8 Br 2.87
P  0.2500  0.7500  0.5000  4 P 2.35
P  0.7500  0.2500  0.5000  4 P 2.35

Properties
- DOS(E_F) (states/eV per atom) = 0.22
- M_tot (μB/f.u.) = 4.99


Run 2
Density functional theory data (PBE) for a relaxed structure of MnP2Br2.

a = 7.0655 Å, b = 7.0655 Å, c = 8.6920 Å
α = 90.00°, β = 90.00°, γ = 90.00°
Closest atoms and distances in Å follow each position.
Atoms (fractional coordinates):
P  0.0952  0.5952  0.5000  1 P 1.90
P  0.9048  0.4048  0.5000  1 P 1.90
P  0.4048  0.0952  0.5000  1 P 1.90
P  0.5952  0.9048  0.5000  1 P 1.90
Br  0.6855  0.1855  0.0000  2 Mn 2.58
Br  0.3145  0.8145  0.0000  2 Mn 2.58
Br  0.1855  0.3145  0.0000  2 Mn 2.58
Br  0.8145  0.6855  0.0000  2 Mn 2.58
Mn  0.0000  0.0000  0.0000  4 Br 2.58
Mn  0.5000  0.5000  0.0000  4 Br 2.58

Properties
- DOS(E_F) (states/eV per atom) = 0.00
- M_tot (μB/f.u.) = 5.00


Winner for stability: run 1


Run 1
Density functional theory data (PBE) for a relaxed structure of MnPS2Br.

a = 4.2542 Å, b = 4.2542 Å, c = 5.0476 Å
α = 90.00°, β = 90.00°, γ = 90.00°
Closest atoms and distances in Å follow each position.
Atoms (fractional coordinates):
S  0.5000  0.0000  0.0000  2 Mn 2.13
S  0.0000  0.5000  0.0000  2 Mn 2.13
P  0.0000  0.0000  0.5000  2 Mn 2.52
Br  0.5000  0.5000  0.5000  4 P 3.01, 8 S 3.30
Mn  0.0000  0.0000  0.0000  4 S 2.13

Properties
- DOS(E_F) (states/eV per atom) = 0.91
- M_tot (μB/f.u.) = 1.58


Run 2
Density functional theory data (PBE) for a relaxed structure of MnPS2Br.

a = 4.7721 Å, b = 4.7721 Å, c = 4.9404 Å
α = 90.00°, β = 90.00°, γ = 90.00°
Closest atoms and distances in Å follow each position.
Atoms (fractional coordinates):
P  0.0000  0.0000  0.5000  2 Br 2.47
S  0.5000  0.0000  0.0000  2 Br 2.39
S  0.0000  0.5000  0.0000  2 Br 2.39
Mn  0.5000  0.5000  0.5000  4 P 3.37, 8 S 3.43
Br  0.0000  0.0000  0.0000  4 S 2.39, 2 P 2.47

Properties
- DOS(E_F) (states/eV per atom) = 0.71
- M_tot (μB/f.u.) = 4.73


Winner for stability: run 1


Run 1
Density functional theory data (PBE) for a relaxed structure of MnPSeBr2.

a = 4.8702 Å, b = 4.8702 Å, c = 4.6123 Å
α = 90.00°, β = 90.00°, γ = 90.00°
Closest atoms and distances in Å follow each position.
Atoms (fractional coordinates):
Br  0.0000  0.5000  0.0000  2 Mn 2.44
Br  0.5000  0.0000  0.0000  2 Mn 2.44
P  0.5000  0.5000  0.5000  8 Br 3.35, 4 Se 3.44
Se  0.0000  0.0000  0.5000  2 Mn 2.31
Mn  0.0000  0.0000  0.0000  2 Se 2.31, 4 Br 2.44

Properties
- DOS(E_F) (states/eV per atom) = 1.52
- M_tot (μB/f.u.) = 0.20


Run 2
Density functional theory data (PBE) for a relaxed structure of MnPSeBr2.

a = 4.9841 Å, b = 4.9841 Å, c = 5.1289 Å
α = 90.00°, β = 90.00°, γ = 90.00°
Closest atoms and distances in Å follow each position.
Atoms (fractional coordinates):
Br  0.5000  0.0000  0.0000  2 P 2.49
Br  0.0000  0.5000  0.0000  2 P 2.49
P  0.0000  0.0000  0.0000  4 Br 2.49, 2 Se 2.56
Se  0.0000  0.0000  0.5000  2 P 2.56
Mn  0.5000  0.5000  0.5000  4 Se 3.52, 8 Br 3.58

Properties
- DOS(E_F) (states/eV per atom) = 0.40
- M_tot (μB/f.u.) = 5.16


Winner for stability: run 2


Run 1
Density functional theory data (PBE) for a relaxed structure of Mn2PbBr.

a = 6.1756 Å, b = 6.1756 Å, c = 6.1756 Å
α = 141.67°, β = 141.67°, γ = 55.33°
Closest atoms and distances in Å follow each position.
Atoms (fractional coordinates):
Pb  0.5000  0.5000  0.0000  4 Mn 2.87
Br  0.7500  0.2500  0.5000  4 Mn 2.87
Mn  0.2500  0.7500  0.5000  4 Br 2.87
Mn  0.0000  0.0000  0.0000  4 Pb 2.87

Properties
- DOS(E_F) (states/eV per atom) = 0.80
- M_tot (μB/f.u.) = 8.18


Run 2
Density functional theory data (PBE) for a relaxed structure of Mn2PbBr.

a = 6.7704 Å, b = 6.7704 Å, c = 6.7704 Å
α = 151.82°, β = 141.29°, γ = 48.56°
Closest atoms and distances in Å follow each position.
Atoms (fractional coordinates):
Mn  0.0163  0.0163  0.0000  2 Br 2.76, 4 Pb 2.86, 2 Mn 2.88
Mn  0.8246  0.3246  0.5000  2 Pb 2.82, 2 Mn 2.88
Pb  0.4630  0.4630  0.0000  6 Mn 2.82-2.86
Br  0.1960  0.6960  0.5000  2 Mn 2.76

Properties
- DOS(E_F) (states/eV per atom) = 0.58
- M_tot (μB/f.u.) = 7.45


Run 3
Density functional theory data (PBE) for a relaxed structure of Mn2PbBr.

a = 8.2414 Å, b = 8.2414 Å, c = 8.2414 Å
α = 25.24°, β = 25.24°, γ = 25.24°
Closest atoms and distances in Å follow each position.
Atoms (fractional coordinates):
Br  0.7500  0.7500  0.7500  6 Mn 2.85
Mn  0.4982  0.4982  0.4982  3 Br 2.85, 3 Pb 2.91
Mn  0.0018  0.0018  0.0018  3 Br 2.85, 3 Pb 2.91
Pb  0.2500  0.2500  0.2500  6 Mn 2.91

Properties
- DOS(E_F) (states/eV per atom) = 0.70
- M_tot (μB/f.u.) = 8.42


Run 4
Density functional theory data (PBE) for a relaxed structure of Mn2PbBr.

a = 5.6424 Å, b = 5.6424 Å, c = 5.6424 Å
α = 145.37°, β = 117.75°, γ = 73.23°
Closest atoms and distances in Å follow each position.
Atoms (fractional coordinates):
Pb  0.7500  0.2500  0.5000  4 Mn 2.91
Mn  0.0119  0.0119  0.0000  2 Br 2.73, 2 Pb 2.91
Mn  0.4881  0.4881  0.0000  2 Br 2.73, 2 Pb 2.91
Br  0.2500  0.7500  0.5000  4 Mn 2.73

Properties
- DOS(E_F) (states/eV per atom) = 0.77
- M_tot (μB/f.u.) = 7.90


Winner for stability: run 3